Entry from Alexandria via LeMat-Bulk: Pr8HgPt2 after structural relaxation (GGA-PBE).

As for the energy above the most stable polymorph in this dataset: 0.012 eV/atom. Its formation energy from the elements is -0.41 eV/atom. As for the crystal system: monoclinic. The calculation puts the uncorrected energy at -5.0077 eV per atom.

It has space group Cm (No. 8), with a = 8.867 Å, b = 14.001 Å, c = 5.829 Å, α = 90.00°, β = 105.86° and γ = 90.00°. The distinct sites, in fractional coordinates, are Pr at (0.000, 0.000, 0.000), Pr at (0.097, 0.376, 0.763), Pr at (0.181, 0.124, 0.614), Pr at (0.278, 0.500, 0.376), Pr at (0.389, 0.242, 0.188), Hg at (0.389, 0.000, 0.189) and Pt at (0.389, 0.299, 0.688).